Compound: Cd2SbSe
Source: Alexandria via LeMat-Bulk
Functional: PBE
Structure: optimized geometry

Its uncorrected formation energy is -0.18 eV/atom. As for the space group: I-42d, No. 122. The calculation puts the final energy at -20.28 eV/cell.

Cell lengths 6.500, 6.500, 7.683 Å; angles 64.98, 64.98, 90.00 degrees
Fractional positions:
Sb: 0.000 0.000 0.000
Sb: 0.750 0.250 0.500
Se: 0.500 0.500 0.000
Se: 0.250 0.750 0.500
Cd: 0.607 0.125 0.250
Cd: 0.143 0.625 0.250
Cd: 0.375 0.393 0.750
Cd: 0.875 0.857 0.750

Compound: DyTlAu4
Source: Alexandria via LeMat-Bulk
Functional: PBE
Structure: optimized geometry

As for the space group: F-43m, No. 216. The calculation puts the final energy at -22.30 eV/cell. The formation energy comes out at -0.37 eV per atom.

Cell lengths 5.648, 5.648, 5.648 Å; angles 60.00, 60.00, 60.00 degrees
Fractional positions:
Tl: 0.000 0.000 0.000
Au: 0.625 0.625 0.125
Au: 0.625 0.125 0.625
Au: 0.625 0.625 0.625
Au: 0.125 0.625 0.625
Dy: 0.250 0.250 0.250

Compound: Li3Ce2Pd4
Source: Alexandria via LeMat-Bulk
Functional: PBE
Structure: optimized geometry

As for the space group: Cmce, No. 64. The calculation puts the final energy at -86.12 eV/cell. The formation energy comes out at -0.52 eV per atom.

Cell lengths 5.578, 7.652, 8.120 Å; angles 90.00, 110.09, 90.00 degrees
Fractional positions:
Li: 0.000 0.000 0.000
Li: 0.500 0.500 0.000
Li: 0.531 0.750 0.561
Li: 0.969 0.250 0.439
Li: 0.469 0.250 0.439
Li: 0.031 0.750 0.561
Ce: 0.113 0.582 0.226
Ce: 0.887 0.418 0.774
Ce: 0.387 0.082 0.774
Ce: 0.613 0.918 0.226
Pd: 0.697 0.750 0.894
Pd: 0.803 0.250 0.106
Pd: 0.303 0.250 0.106
Pd: 0.197 0.750 0.894
Pd: 0.173 0.968 0.345
Pd: 0.827 0.032 0.655
Pd: 0.327 0.468 0.655
Pd: 0.673 0.532 0.345

Compound: CaInBr6
Source: Alexandria via LeMat-Bulk
Functional: PBE
Structure: optimized geometry

Its uncorrected formation energy is -1.01 eV/atom. As for the space group: P-1, No. 2. The calculation puts the final energy at -22.82 eV/cell.

Cell lengths 7.028, 7.031, 7.305 Å; angles 61.17, 61.63, 60.05 degrees
Fractional positions:
Ca: 0.500 0.500 0.500
In: 0.000 0.000 0.000
Br: 0.060 0.417 0.750
Br: 0.771 0.058 0.755
Br: 0.586 0.229 0.246
Br: 0.229 0.942 0.245
Br: 0.940 0.583 0.250
Br: 0.414 0.771 0.754

> Among the records above, which one has the highest final energy?

Cd2SbSe